No. 1
## CsFeW2 (PBE-GGA)

Data for a geometry-optimized CsFeW2 structure.

Output
Symmetry ... No. 225
Magnetization ... 1.06 μB/f.u.
DFT total energy ... -6.6221 eV per atom

Geometry as POSCAR:
```
CsFeW2
1.0
4.196 -1.768 0.736
0.441 -4.172 1.917
1.480 -3.558 -2.535
W Cs Fe
2 1 1
Direct
0.250 0.250 0.250
0.750 0.750 0.750
0.500 0.500 0.500
0.000 0.000 0.000
```

No. 2
## CsFe2W (PBE-GGA)

Data for a geometry-optimized CsFe2W structure.

Output
Symmetry ... No. 225
Magnetization ... 2.18 μB/f.u.
DFT total energy ... -5.6919 eV per atom

Geometry as POSCAR:
```
CsFe2W
1.0
0.206 -1.848 4.269
-2.590 -3.723 1.052
2.030 -4.140 0.649
W Cs Fe
1 1 2
Direct
0.500 0.500 0.500
0.000 0.000 0.000
0.250 0.250 0.250
0.750 0.750 0.750
```

No. 3
## CsFe2W (PBE-GGA)

Data for a geometry-optimized CsFe2W structure.

Output
Symmetry ... No. 122
Magnetization ... 2.82 μB/f.u.
DFT total energy ... -5.8998 eV per atom

Geometry as POSCAR:
```
CsFe2W
1.0
7.446 0.000 0.000
0.000 7.446 0.000
3.723 3.723 3.596
Fe W Cs
4 2 2
Direct
0.028 0.625 0.250
0.875 0.972 0.750
0.722 0.125 0.250
0.375 0.278 0.750
0.750 0.250 0.500
0.000 0.000 0.000
0.250 0.750 0.500
0.500 0.500 0.000
```

No. 4
## CsY3Fe (PBE-GGA)

Data for a geometry-optimized CsY3Fe structure.

Output
Symmetry ... No. 221
Magnetization ... 2.94 μB/f.u.
DFT total energy ... -3.9886 eV per atom

Geometry as POSCAR:
```
CsY3Fe
1.0
5.560 0.000 0.000
0.000 5.560 0.000
0.000 0.000 5.560
Y Fe Cs
3 1 1
Direct
0.000 0.000 0.500
0.000 0.500 0.000
0.500 0.000 0.000
0.500 0.500 0.500
0.000 0.000 0.000
```

No. 5
## CsY3Fe (PBE-GGA)

Data for a geometry-optimized CsY3Fe structure.

Output
Symmetry ... No. 221
Magnetization ... 0.00 μB/f.u.
DFT total energy ... -5.3625 eV per atom

Geometry as POSCAR:
```
CsY3Fe
1.0
5.487 0.000 0.000
0.000 5.487 0.000
0.000 0.000 5.487
Y Cs Fe
3 1 1
Direct
0.000 0.500 0.000
0.500 0.000 0.000
0.000 0.000 0.500
0.500 0.500 0.500
0.000 0.000 0.000
```

No. 6
## Cs3YFe (PBE-GGA)

Data for a geometry-optimized Cs3YFe structure.

Output
Symmetry ... No. 221
Magnetization ... 6.57 μB/f.u.
DFT total energy ... -1.9722 eV per atom

Geometry as POSCAR:
```
Cs3YFe
1.0
-1.932 2.432 -6.270
6.251 -1.755 -2.608
-2.479 -6.322 -1.688
Cs Y Fe
3 1 1
Direct
0.000 0.500 0.000
0.000 0.000 0.500
0.500 0.000 0.000
0.000 0.000 0.000
0.500 0.500 0.500
```

No. 7
## CsY2Fe (PBE-GGA)

Data for a geometry-optimized CsY2Fe structure.

Output
Symmetry ... No. 122
Magnetization ... 0.00 μB/f.u.
DFT total energy ... -4.9420 eV per atom

Geometry as POSCAR:
```
CsY2Fe
1.0
7.924 0.000 0.000
0.000 7.924 0.000
3.962 3.962 5.604
Cs Y Fe
2 4 2
Direct
0.750 0.250 0.500
0.000 0.000 0.000
0.376 0.125 0.250
0.374 0.625 0.250
0.875 0.626 0.750
0.375 0.624 0.750
0.500 0.500 0.000
0.250 0.750 0.500
```

No. 8
## CsYFe3 (PBE-GGA)

Data for a geometry-optimized CsYFe3 structure.

Output
Symmetry ... No. 221
Magnetization ... 5.36 μB/f.u.
DFT total energy ... -4.4867 eV per atom

Geometry as POSCAR:
```
CsYFe3
1.0
4.813 0.000 0.000
0.000 4.813 0.000
0.000 0.000 4.813
Fe Y Cs
3 1 1
Direct
0.000 0.500 0.000
0.000 0.000 0.500
0.500 0.000 0.000
0.500 0.500 0.500
0.000 0.000 0.000
```

No. 9
## CsYFe3 (PBE-GGA)

Data for a geometry-optimized CsYFe3 structure.

Output
Symmetry ... No. 221
Magnetization ... 8.05 μB/f.u.
DFT total energy ... -4.9398 eV per atom

Geometry as POSCAR:
```
CsYFe3
1.0
5.364 0.000 0.000
0.000 5.364 0.000
0.000 0.000 5.364
Cs Y Fe
1 1 3
Direct
0.500 0.500 0.500
0.000 0.000 0.000
0.500 0.000 0.000
0.000 0.000 0.500
0.000 0.500 0.000
```

No. 10
## CsY2Fe (PBE-GGA)

Data for a geometry-optimized CsY2Fe structure.

Output
Symmetry ... No. 225
Magnetization ... 1.99 μB/f.u.
DFT total energy ... -4.6678 eV per atom

Geometry as POSCAR:
```
CsY2Fe
1.0
0.000 3.838 3.838
3.838 0.000 3.838
3.838 3.838 0.000
Y Fe Cs
2 1 1
Direct
0.750 0.750 0.750
0.250 0.250 0.250
0.000 0.000 0.000
0.500 0.500 0.500
```

No. 11
## Cs2YFe (PBE-GGA)

Data for a geometry-optimized Cs2YFe structure.

Output
Symmetry ... No. 225
Magnetization ... 1.17 μB/f.u.
DFT total energy ... -2.7728 eV per atom

Geometry as POSCAR:
```
Cs2YFe
1.0
0.000 4.556 4.556
4.556 0.000 4.556
4.556 4.556 0.000
Cs Fe Y
2 1 1
Direct
0.250 0.250 0.250
0.750 0.750 0.750
0.000 0.000 0.000
0.500 0.500 0.500
```

No. 12
## CsZn2Fe (PBE-GGA)

Data for a geometry-optimized CsZn2Fe structure.

Output
Symmetry ... No. 225
Magnetization ... 2.99 μB/f.u.
DFT total energy ... -2.0281 eV per atom

Geometry as POSCAR:
```
CsZn2Fe
1.0
5.348 0.000 0.000
2.674 4.631 0.000
2.674 1.544 4.366
Fe Zn Cs
1 2 1
Direct
0.000 0.000 0.000
0.750 0.750 0.750
0.250 0.250 0.250
0.500 0.500 0.500
```

Number 1: calculated formation energy 2.18 eV/atom, density of states at the Fermi level 2.679 states/eV per cell. Number 2: calculated formation energy 1.99 eV/atom, density of states at the Fermi level 4.436 states/eV per cell. Number 3: calculated formation energy 1.78 eV/atom, density of states at the Fermi level 15.305 states/eV per cell. Number 4: calculated formation energy 1.75 eV/atom, density of states at the Fermi level 10.669 states/eV per cell. Number 5: calculated formation energy 0.38 eV/atom, density of states at the Fermi level 1.671 states/eV per cell. Number 6: calculated formation energy 1.53 eV/atom, density of states at the Fermi level 26.118 states/eV per cell. Number 7: calculated formation energy 0.62 eV/atom, density of states at the Fermi level 8.140 states/eV per cell. Number 8: calculated formation energy 2.05 eV/atom, density of states at the Fermi level 12.425 states/eV per cell. Number 9: calculated formation energy 1.60 eV/atom, density of states at the Fermi level 11.413 states/eV per cell. Number 10: calculated formation energy 0.89 eV/atom, density of states at the Fermi level 9.136 states/eV per cell. Number 11: calculated formation energy 1.39 eV/atom, density of states at the Fermi level 6.633 states/eV per cell. Number 12: calculated formation energy 0.94 eV/atom, density of states at the Fermi level 2.632 states/eV per cell.